[1]
CaReN3: optimized geometry, GGA-PBE.

Values from the calculation:
Total magnetic moment ... 0.00 μB/f.u.
Space-group type ... No. 1

Cell lengths 6.254, 5.781, 5.340 Å; angles 108.42, 72.64, 74.63 degrees
Fractional coordinates of all 10 atoms:
1 Ca 0.069 0.166 0.384
2 Ca 0.439 0.573 0.822
3 N 0.512 0.933 0.112
4 N 0.708 0.156 0.720
5 N 0.827 0.599 0.502
6 N 0.376 0.852 0.544
7 N 0.991 0.837 0.057
8 N 0.233 0.769 0.475
9 Re 0.679 0.890 0.377
10 Re 0.807 0.875 0.829

***

[2]
SrCa2Se: optimized geometry, GGA-PBE.

Values from the calculation:
Total magnetic moment ... 0.00 μB/f.u.
Space-group type ... No. 65

Cell lengths 4.130, 6.807, 6.812 Å; angles 56.45, 90.00, 90.00 degrees
Fractional coordinates of all 4 atoms:
1 Ca 0.000 0.421 0.422
2 Ca 0.000 0.079 0.078
3 Sr 0.500 0.750 0.750
4 Se 0.500 0.250 0.250

***

In eV/atom, the E_form (uncorrected) values for the records above are, in order, -0.318 -0.844.